Entry 1:
Compound: NaSmTm2S4
Source: Alexandria
Functional: PBE
Structure: optimized geometry

Unit cell a=6.808 b=3.891 c=6.849 alpha=90.00 beta=108.93 gamma=90.00
Sites, in units of the cell vectors:
1 Na 0.000 0.000 0.000
2 Sm 0.500 0.500 0.000
3 Tm 0.000 0.500 0.500
4 Tm 0.500 0.000 0.500
5 S 0.243 0.000 0.737
6 S 0.255 0.500 0.265
7 S 0.745 0.500 0.735
8 S 0.757 0.000 0.263

Results
The formation energy (no corrections) comes out at -1909.4 meV per atom. The value obtained for the calculated volume is 21.45 A^3/atom. For the raw total energy, the calculation gives -5.85 eV/atom. As for the symmetry: P2/m (10).

Entry 2:
Compound: Na3SmU2S6
Source: Alexandria
Functional: PBE
Structure: optimized geometry

Unit cell a=6.930 b=6.930 c=7.127 alpha=99.33 beta=99.33 gamma=120.01
Sites, in units of the cell vectors:
1 Na 0.000 0.000 0.000
2 Na 0.335 0.665 0.000
3 Na 0.665 0.335 0.000
4 Sm 0.500 0.500 0.500
5 U 0.167 0.833 0.500
6 U 0.833 0.167 0.500
7 S 0.083 0.423 0.269
8 S 0.238 0.238 0.732
9 S 0.423 0.083 0.269
10 S 0.577 0.917 0.731
11 S 0.762 0.762 0.268
12 S 0.917 0.577 0.731

Results
The formation energy (no corrections) comes out at -1492.1 meV per atom. The value obtained for the calculated volume is 23.36 A^3/atom. For the raw total energy, the calculation gives -6.16 eV/atom. As for the symmetry: C2/m (12).

Entry 3:
Compound: Na4SmU3S8
Source: Alexandria
Functional: PBE
Structure: optimized geometry

Unit cell a=8.177 b=8.177 c=8.177 alpha=58.37 beta=58.37 gamma=58.37
Sites, in units of the cell vectors:
1 Na 0.000 0.000 0.000
2 Na 0.000 0.500 0.500
3 Na 0.500 0.000 0.500
4 Na 0.500 0.500 0.000
5 Sm 0.500 0.500 0.500
6 U 0.000 0.000 0.500
7 U 0.000 0.500 0.000
8 U 0.500 0.000 0.000
9 S 0.239 0.747 0.747
10 S 0.243 0.243 0.243
11 S 0.253 0.253 0.761
12 S 0.253 0.761 0.253
13 S 0.747 0.239 0.747
14 S 0.747 0.747 0.239
15 S 0.757 0.757 0.757
16 S 0.761 0.253 0.253

Results
The formation energy (no corrections) comes out at -1454.0 meV per atom. The value obtained for the calculated volume is 23.26 A^3/atom. For the raw total energy, the calculation gives -6.26 eV/atom. As for the symmetry: R-3m (166).

Which formula does entry 2 have? Na3SmU2S6